(1)
Material: Ce3Ge6IrPt2
Method: DFT, PBE-GGA
State: optimized geometry Values from VASP.

Quantum ESPRESSO input file:
```
&SYSTEM
  ibrav = 0, nat = 12, ntyp = 4
/
ATOMIC_SPECIES
Ce 140.12 Ce.upf
Ge 72.64 Ge.upf
Ir 192.22 Ir.upf
Pt 195.08 Pt.upf
CELL_PARAMETERS angstrom
-3.4118 0.3144 4.9388
3.9849 -4.4571 -0.6213
5.4823 4.4127 3.5063
ATOMIC_POSITIONS crystal
Ce 0.3333 0.6667 0.6598
Ce 0.6667 0.3333 0.3402
Ce 0.0000 0.0000 0.0000
Ge 0.6220 0.8110 0.2983
Ge 0.1890 0.3780 0.2983
Ge 0.1890 0.8110 0.2983
Ge 0.8110 0.6220 0.7017
Ge 0.3780 0.1890 0.7017
Ge 0.8110 0.1890 0.7017
Ir 0.0000 0.0000 0.5000
Pt 0.6667 0.3333 0.9868
Pt 0.3333 0.6667 0.0132
```

Results
**M_tot**: 0.96 μB/cell
**VASP energy**: -71.98 eV for the cell shown
**SG**: P-3m1
**Formation enthalpy at 0 K**: -0.461 eV/atom
**N(E_F)**: 12.3 states/eV/f.u.

(2)
Material: Ce2Ge6IrPt
Method: DFT, PBE-GGA
State: optimized geometry Values from VASP.

Quantum ESPRESSO input file:
```
&SYSTEM
  ibrav = 0, nat = 20, ntyp = 4
/
ATOMIC_SPECIES
Ce 140.12 Ce.upf
Ge 72.64 Ge.upf
Ir 192.22 Ir.upf
Pt 195.08 Pt.upf
CELL_PARAMETERS angstrom
-1.7662 -3.7649 4.0059
7.9982 1.0301 4.4945
-3.2001 6.0784 4.3017
ATOMIC_POSITIONS crystal
Ce 0.5000 0.7046 0.2351
Ce 0.0000 0.2954 0.7351
Ce 0.5000 0.7046 0.7649
Ce 0.0000 0.2954 0.2649
Ge 0.5000 0.1661 0.3005
Ge 0.5000 0.1661 0.6995
Ge 0.0000 0.8339 0.1995
Ge 0.0000 0.8339 0.8005
Ge 0.2302 0.0276 0.5000
Ge 0.7698 0.0276 0.5000
Ge 0.2081 0.5506 0.5000
Ge 0.7919 0.5506 0.5000
Ge 0.7081 0.4494 0.0000
Ge 0.2919 0.4494 0.0000
Ge 0.2698 0.9724 0.0000
Ge 0.7302 0.9724 0.0000
Ir 0.0000 0.7962 0.5000
Ir 0.5000 0.2038 0.0000
Pt 0.5000 0.3672 0.5000
Pt 0.0000 0.6328 0.0000
```

Results
**M_tot**: 3.21 μB/cell
**VASP energy**: -117.07 eV for the cell shown
**SG**: Pmmn
**Formation enthalpy at 0 K**: -0.406 eV/atom
**N(E_F)**: 13.1 states/eV/f.u.

(3)
Material: Ce2Ge4Ir3Pt
Method: DFT, PBE-GGA
State: optimized geometry Values from VASP.

Quantum ESPRESSO input file:
```
&SYSTEM
  ibrav = 0, nat = 10, ntyp = 4
/
ATOMIC_SPECIES
Ce 140.12 Ce.upf
Ge 72.64 Ge.upf
Ir 192.22 Ir.upf
Pt 195.08 Pt.upf
CELL_PARAMETERS angstrom
4.2390 0.0000 0.0000
0.0000 4.2390 0.0000
0.0000 0.0000 10.3319
ATOMIC_POSITIONS crystal
Ce 0.5000 0.0000 0.2408
Ce 0.0000 0.5000 0.7592
Ge 0.5000 0.5000 0.0000
Ge 0.0000 0.0000 0.0000
Ge 0.5000 0.0000 0.6368
Ge 0.0000 0.5000 0.3632
Ir 0.0000 0.0000 0.5000
Ir 0.5000 0.0000 0.8718
Ir 0.0000 0.5000 0.1282
Pt 0.5000 0.5000 0.5000
```

Results
**M_tot**: 0.91 μB/cell
**VASP energy**: -70.88 eV for the cell shown
**SG**: P-4m2
**Formation enthalpy at 0 K**: -0.792 eV/atom
**N(E_F)**: 8.2 states/eV/f.u.